Below is crystalline IrPb6Cl8 at its relaxed geometry, with properties calculated at the GGA-PBE level.

The structure in POSCAR format:
```
IrPb6Cl8
1.0
-3.1142 1.1446 -8.1269
-7.6859 -4.5393 2.3059
-4.7513 9.6609 3.1813
Cl Pb Ir
16 12 2
Direct
0.6517 0.5000 0.9739
0.3483 0.0000 0.4739
0.0336 0.3234 0.3597
0.5760 0.8057 0.7516
0.7912 0.8067 0.1481
0.0336 0.6766 0.3597
0.2088 0.3067 0.6481
0.3695 0.0000 0.9880
0.9664 0.8234 0.8597
0.9664 0.1766 0.8597
0.5760 0.1943 0.7516
0.4240 0.6943 0.2516
0.4240 0.3057 0.2516
0.6305 0.5000 0.4880
0.2088 0.6933 0.6481
0.7912 0.1933 0.1481
0.6725 0.5000 0.2205
0.2901 0.5000 0.4363
0.0442 0.0000 0.3624
0.3675 0.5000 0.8382
0.9558 0.5000 0.8624
0.8651 0.7148 0.5872
0.1349 0.2148 0.0872
0.7099 0.0000 0.9363
0.3275 0.0000 0.7205
0.8651 0.2852 0.5872
0.6325 0.0000 0.3382
0.1349 0.7852 0.0872
0.8231 0.0000 0.5237
0.1769 0.5000 0.0237
```

The total magnetic moment is 0.00 μB/cell. The energy relative to the elements, uncorrected is -0.72 eV per atom. As for the space group: No. 31.

***

Below is crystalline Ir3PbCl at its relaxed geometry, with properties calculated at the GGA-PBE level.

The structure in POSCAR format:
```
Ir3PbCl
1.0
4.5639 0.0000 0.0000
0.0000 4.5639 0.0000
0.0000 0.0000 4.5639
Ir Pb Cl
3 1 1
Direct
0.0000 0.0000 0.5000
0.0000 0.5000 0.0000
0.5000 0.0000 0.0000
0.5000 0.5000 0.5000
0.0000 0.0000 0.0000
```

The total magnetic moment is 0.00 μB/cell. The calculation puts the polymorph energy (0 for the lowest one) at 0.000 eV per atom. The energy relative to the elements, uncorrected is 1.41 eV per atom. As for the space group: No. 221.

***

Below is crystalline IrPb2Cl at its relaxed geometry, with properties calculated at the GGA-PBE level.

The structure in POSCAR format:
```
IrPb2Cl
1.0
-0.8646 -2.0295 -2.4976
-2.1047 -0.7960 2.4578
-5.7993 6.1364 -2.9789
Cl Pb Ir
1 2 1
Direct
0.0000 0.0000 0.5288
0.5000 0.5000 0.2791
0.0000 0.0000 0.9428
0.5000 0.5000 0.7493
```

The total magnetic moment is 0.00 μB/cell. The calculation puts the polymorph energy (0 for the lowest one) at 0.423 eV per atom. The energy relative to the elements, uncorrected is 0.32 eV per atom. As for the space group: No. 35.

***

Below is crystalline IrPb2Cl at its relaxed geometry, with properties calculated at the GGA-PBE level.

The structure in POSCAR format:
```
IrPb2Cl
1.0
-4.6102 -2.6280 5.2513
5.5565 0.1618 -0.2603
0.9191 2.3124 2.1392
Ir Pb Cl
1 2 1
Direct
0.5000 0.5000 0.0000
0.0000 0.0000 0.0000
0.5000 0.0000 0.5000
0.0000 0.5000 0.5000
```

The total magnetic moment is 0.00 μB/cell. The calculation puts the polymorph energy (0 for the lowest one) at 0.117 eV per atom. The energy relative to the elements, uncorrected is 0.01 eV per atom. As for the space group: No. 12.

***

Below is crystalline IrPbCl at its relaxed geometry, with properties calculated at the GGA-PBE level.

The structure in POSCAR format:
```
IrPbCl
1.0
4.5846 0.0000 0.0000
2.2923 3.9704 0.0000
2.2923 1.3235 3.7433
Cl Ir Pb
1 1 1
Direct
0.5000 0.5000 0.5000
0.7500 0.7500 0.7500
0.0000 0.0000 0.0000
```

The total magnetic moment is 0.00 μB/cell. The calculation puts the polymorph energy (0 for the lowest one) at 0.018 eV per atom. The energy relative to the elements, uncorrected is 0.33 eV per atom. As for the space group: No. 216.

***

Below is crystalline IrPbCl at its relaxed geometry, with properties calculated at the GGA-PBE level.

The structure in POSCAR format:
```
IrPbCl
1.0
4.5413 0.0000 0.0000
-2.2706 3.9328 0.0000
0.0000 0.0000 3.3405
Pb Ir Cl
1 1 1
Direct
0.3333 0.6667 0.6659
0.6667 0.3333 0.1674
0.0000 0.0000 0.1667
```

The total magnetic moment is 0.00 μB/cell. The calculation puts the polymorph energy (0 for the lowest one) at 0.078 eV per atom. The energy relative to the elements, uncorrected is 0.40 eV per atom. As for the space group: No. 187.

***

Below is crystalline IrPbCl at its relaxed geometry, with properties calculated at the GGA-PBE level.

The structure in POSCAR format:
```
IrPbCl
1.0
-2.2859 3.4174 0.5470
0.1617 -1.8122 -3.7273
-4.1410 -2.9725 1.2655
Ir Cl Pb
1 1 1
Direct
0.6667 0.3333 0.3537
0.0000 0.0000 0.0899
0.3333 0.6667 0.5564
```

The total magnetic moment is 0.00 μB/cell. The calculation puts the polymorph energy (0 for the lowest one) at 0.000 eV per atom. The energy relative to the elements, uncorrected is 0.32 eV per atom. As for the space group: No. 156.

***

Below is crystalline IrPbCl6 at its relaxed geometry, with properties calculated at the GGA-PBE level.

The structure in POSCAR format:
```
IrPbCl6
1.0
6.4615 -0.9486 0.8710
-0.4605 6.5145 0.8710
2.6951 2.4997 7.2721
Cl Pb Ir
6 1 1
Direct
0.6875 0.6875 0.0590
0.0238 0.7023 0.2632
0.9762 0.2977 0.7368
0.7023 0.0238 0.2632
0.2977 0.9762 0.7368
0.3125 0.3125 0.9410
0.5000 0.5000 0.5000
0.0000 0.0000 0.0000
```

The total magnetic moment is 0.51 μB/cell. The energy relative to the elements, uncorrected is -0.68 eV per atom. As for the space group: No. 12.

***

> The highest total magnetic moment belongs to which entry?

IrPbCl6

***

What did the first record say?
Below is crystalline IrPb6Cl8 at its relaxed geometry, with properties calculated at the GGA-PBE level.

The structure in POSCAR format:
```
IrPb6Cl8
1.0
-3.1142 1.1446 -8.1269
-7.6859 -4.5393 2.3059
-4.7513 9.6609 3.1813
Cl Pb Ir
16 12 2
Direct
0.6517 0.5000 0.9739
0.3483 0.0000 0.4739
0.0336 0.3234 0.3597
0.5760 0.8057 0.7516
0.7912 0.8067 0.1481
0.0336 0.6766 0.3597
0.2088 0.3067 0.6481
0.3695 0.0000 0.9880
0.9664 0.8234 0.8597
0.9664 0.1766 0.8597
0.5760 0.1943 0.7516
0.4240 0.6943 0.2516
0.4240 0.3057 0.2516
0.6305 0.5000 0.4880
0.2088 0.6933 0.6481
0.7912 0.1933 0.1481
0.6725 0.5000 0.2205
0.2901 0.5000 0.4363
0.0442 0.0000 0.3624
0.3675 0.5000 0.8382
0.9558 0.5000 0.8624
0.8651 0.7148 0.5872
0.1349 0.2148 0.0872
0.7099 0.0000 0.9363
0.3275 0.0000 0.7205
0.8651 0.2852 0.5872
0.6325 0.0000 0.3382
0.1349 0.7852 0.0872
0.8231 0.0000 0.5237
0.1769 0.5000 0.0237
```

The total magnetic moment is 0.00 μB/cell. The energy relative to the elements, uncorrected is -0.72 eV per atom. As for the space group: No. 31.

***

> What is the formula in the third record?

IrPb2Cl

***

> The highest total magnetic moment belongs to which entry?

IrPbCl6